Record 1
Below is a relaxed structure of La5Ho2Er3, with properties calculated at the GGA-PBE level.

abc: 10.1700 10.1597 9.1990
angles: 108.32 108.37 115.49
Fractional positions:
1 La 0.2268 0.4768 0.9535
2 La 0.3829 0.1275 0.7623
3 La 0.7732 0.5232 0.0465
4 La 0.6171 0.8725 0.2377
5 La 0.4760 0.2260 0.4519
6 La 0.0177 0.2677 0.5354
7 La 0.5240 0.7740 0.5481
8 La 0.8795 0.6349 0.7624
9 La 0.1205 0.3651 0.2376
10 La 0.9823 0.7323 0.4646
11 Ho 0.2864 0.7245 0.7608
12 Ho 0.0256 0.9638 0.2393
13 Ho 0.7136 0.2755 0.2392
14 Ho 0.9744 0.0362 0.7607
15 Er 0.2696 0.0196 0.0392
16 Er 0.4730 0.5319 0.7525
17 Er 0.7304 0.9804 0.9608
18 Er 0.5270 0.4681 0.2475
19 Er 0.7794 0.2205 0.7525
20 Er 0.2206 0.7795 0.2475

Output
- space group = C2/c (15)
- formation energy (eV/atom) = 0.162

=====

Record 2
Below is a relaxed structure of LiZrP, with properties calculated at the GGA-PBE level.

abc: 4.2314 4.2314 4.2314
angles: 60.00 60.00 60.00
Fractional positions:
1 Li 0.5000 0.5000 0.5000
2 P 0.7500 0.7500 0.7500
3 Zr 0.0000 0.0000 0.0000

Output
- space group = F-43m (216)
- formation energy (eV/atom) = -0.702

=====

Record 3
Below is a relaxed structure of MgPbS2N, with properties calculated at the GGA-PBE level.

abc: 5.2790 5.2790 4.4307
angles: 90.00 90.00 90.00
Site moments in Bohr magnetons follow the coordinates.
Fractional positions:
1 N 0.0000 0.0000 0.5000  0.89
2 S 0.0000 0.5000 0.0000  0.08
3 S 0.5000 0.0000 0.0000  0.08
4 Mg 0.5000 0.5000 0.5000  0.00
5 Pb 0.0000 0.0000 0.0000  -0.03

Output
- space group = P4/mmm (123)
- energy relative to the elements, uncorrected (eV/atom) = 0.75

=====

Record 4
Below is a relaxed structure of Li4SeI2, with properties calculated at the GGA-PBE level.

abc: 4.9052 4.9052 8.3328
angles: 72.88 72.88 90.00
Fractional positions:
1 I 0.6539 0.6539 0.6922
2 I 0.3461 0.3461 0.3078
3 Li 0.0000 0.5000 0.0000
4 Li 0.8351 0.8351 0.3298
5 Li 0.5000 0.0000 0.0000
6 Li 0.1649 0.1649 0.6702
7 Se 0.0000 0.0000 0.0000

Output
- space group = I4/mmm (139)
- energy relative to the elements, uncorrected (eV/atom) = -1.14
- relative energy among the computed polymorphs (eV per atom) = 0.042

=====

Record 5
Below is a relaxed structure of SnHg2S2Br2, with properties calculated at the GGA-PBE level.

abc: 11.1709 10.1211 10.5101
angles: 74.32 90.00 90.00
Fractional positions:
1 Hg 0.8395 0.4832 0.6126
2 Hg 0.5728 0.3061 0.8068
3 Hg 0.1605 0.5168 0.3874
4 Hg 0.9272 0.3061 0.3068
5 Hg 0.6605 0.4832 0.1126
6 Hg 0.0728 0.6939 0.6932
7 Hg 0.3395 0.5168 0.8874
8 Hg 0.4272 0.6939 0.1932
9 S 0.7396 0.2672 0.6794
10 S 0.9308 0.6985 0.5267
11 S 0.2396 0.7328 0.8206
12 S 0.7604 0.2672 0.1794
13 S 0.2604 0.7328 0.3206
14 S 0.5692 0.6985 0.0267
15 S 0.4308 0.3015 0.9733
16 S 0.0692 0.3015 0.4733
17 Br 0.4763 0.3601 0.3830
18 Br 0.5237 0.6399 0.6170
19 Br 0.9763 0.6399 0.1170
20 Br 0.4904 0.0174 0.6828
21 Br 0.0237 0.3601 0.8830
22 Br 0.9904 0.9826 0.8172
23 Br 0.5096 0.9826 0.3172
24 Br 0.0096 0.0174 0.1828
25 Sn 0.3708 0.8499 0.5438
26 Sn 0.8708 0.1501 0.9562
27 Sn 0.1292 0.8499 0.0438
28 Sn 0.6292 0.1501 0.4562

Output
- space group = P2_1/c (14)
- energy relative to the elements, uncorrected (eV/atom) = -0.37
- relative energy among the computed polymorphs (eV per atom) = 0.045

=====

Record 6
Below is a relaxed structure of Mg8ZnSe4, with properties calculated at the GGA-PBE level.

abc: 9.4711 9.4711 9.4711
angles: 92.53 92.53 155.74
Fractional positions:
1 Mg 0.6178 0.0618 0.6796
2 Mg 0.3143 0.3091 0.6234
3 Mg 0.3822 0.9382 0.3204
4 Mg 0.0618 0.3822 0.4441
5 Mg 0.9382 0.6178 0.5559
6 Mg 0.6857 0.6909 0.3766
7 Mg 0.3091 0.6857 0.9949
8 Mg 0.6909 0.3143 0.0051
9 Se 0.5037 0.2379 0.7416
10 Se 0.2379 0.4963 0.7342
11 Se 0.7621 0.5037 0.2658
12 Se 0.4963 0.7621 0.2584
13 Zn 0.0000 0.0000 0.0000

Output
- space group = I4/m (87)
- energy relative to the elements, uncorrected (eV/atom) = -0.43
- relative energy among the computed polymorphs (eV per atom) = 0.000

=====

Record 7
Below is a relaxed structure of Cu2HgTe, with properties calculated at the GGA-PBE level.

abc: 3.8947 3.8947 5.4096
angles: 90.00 90.00 90.01
Fractional positions:
1 Hg 0.0000 0.0000 0.3740
2 Cu 0.5000 0.5000 0.3763
3 Cu 0.0000 0.0000 0.8737
4 Te 0.5000 0.5000 0.8760

Output
- space group = P4mm (99)
- energy relative to the elements, uncorrected (eV/atom) = 0.16
- relative energy among the computed polymorphs (eV per atom) = 0.054

=====

Record 8
Below is a relaxed structure of GeTeRh, with properties calculated at the GGA-PBE level.

abc: 6.2642 6.2642 6.2642
angles: 90.00 90.00 90.00
Fractional positions:
1 Rh 0.0130 0.0130 0.0130
2 Rh 0.4870 0.9870 0.5130
3 Rh 0.5130 0.4870 0.9870
4 Rh 0.9870 0.5130 0.4870
5 Te 0.1275 0.6275 0.8725
6 Te 0.6275 0.8725 0.1275
7 Te 0.8725 0.1275 0.6275
8 Te 0.3725 0.3725 0.3725
9 Ge 0.8760 0.3760 0.1240
10 Ge 0.1240 0.8760 0.3760
11 Ge 0.3760 0.1240 0.8760
12 Ge 0.6240 0.6240 0.6240

Output
- space group = P2_13 (198)
- energy relative to the elements, uncorrected (eV/atom) = -0.31